Record 1
Below is a geometry-optimized CaPaGa2O8 structure, with properties calculated at the PBE level.

```
12
Lattice="-0.4889 4.6210 3.9228 -3.9972 0.3302 -4.5711 -1.0967 -5.1444 3.0518" Properties=species:S:1:pos:R:3 pbc="T T T"
Ga -1.9143 0.9761 3.3252
Ga -2.2430 2.4756 -0.3241
O -1.6360 2.7996 3.5253
O -2.3009 0.6298 -0.4758
O -1.4763 0.0286 4.8592
O -3.4073 3.3446 0.8258
O -0.8289 0.2423 2.0114
O -3.7159 0.8339 2.9050
O -3.9237 -1.6082 1.3251
O -1.5334 -2.7527 3.1320
Pa 0.0000 0.0000 0.0000
Ca -3.6684 -1.1693 -0.9217
```

Crystal system: tetragonal
Space group: I-4m2, No. 119
Density of states at the Fermi level in states/eV per atom: 0.666

Record 2
Below is a geometry-optimized Ca2PaGaO6 structure, with properties calculated at the PBE level.

```
10
Lattice="4.7275 0.0000 0.0000 0.0000 5.5858 0.0000 0.0000 0.0000 5.5858" Properties=species:S:1:pos:R:3 pbc="T T T"
Ga 2.7967 0.0000 0.0000
O 3.3752 1.3400 1.3400
O 0.9678 0.0000 0.0000
O 3.3752 4.2458 4.2458
O 3.3752 4.2458 1.3400
O 0.6899 2.7929 2.7929
O 3.3752 1.3400 4.2458
Pa 2.9040 2.7929 2.7929
Ca 0.0815 2.7929 0.0000
Ca 0.0815 0.0000 2.7929
```

Crystal system: tetragonal
Space group: P4mm, No. 99
Density of states at the Fermi level in states/eV per atom: 0.000

Record 3
Below is a geometry-optimized CaPaGaO6 structure, with properties calculated at the PBE level.

```
9
Lattice="4.7437 0.0000 0.0000 0.0000 5.4920 0.0000 0.0000 -2.7460 4.7562" Properties=species:S:1:pos:R:3 pbc="T T T"
O 1.2551 1.0816 4.5959
O 3.4886 -1.0816 4.5959
O 3.4886 -0.6934 1.5216
O 1.2551 0.6934 1.5216
O 3.4886 1.7749 3.3949
O 1.2551 -1.7749 3.3949
Pa 0.0000 0.0000 3.1708
Ca 2.3718 2.7460 1.5854
Ga 2.3718 0.0000 0.0000
```

Crystal system: trigonal
Space group: P312, No. 149
Density of states at the Fermi level in states/eV per atom: 0.496

Record 4
Below is a geometry-optimized CaGaPb2O4 structure, with properties calculated at the PBE level.

```
8
Lattice="5.0109 0.0612 0.0000 -0.3547 4.9987 0.0000 -2.3281 -2.5299 5.8558" Properties=species:S:1:pos:R:3 pbc="T T T"
O 1.1790 3.5874 0.9897
O 1.0433 1.1337 4.6761
O -1.0433 -1.1337 4.6761
O 3.4772 1.4725 0.9897
Ca 0.0000 0.0000 0.0752
Pb 2.5054 0.0306 3.0903
Pb -0.1773 2.4994 3.0903
Ga 0.0000 0.0000 5.8393
```

Crystal system: orthorhombic
Space group: Fmm2, No. 42
Density of states at the Fermi level in states/eV per atom: 0.229

Record 5
Below is a geometry-optimized Ca2GaPbO6 structure, with properties calculated at the PBE level.

```
20
Lattice="5.6727 0.0000 -0.0369 0.0000 5.8666 0.0000 -0.0044 0.0000 7.7528" Properties=species:S:1:pos:R:3 pbc="T T T"
O 0.6960 2.6242 5.9242
O 3.8980 1.6630 4.3601
O 4.0309 1.7853 7.2397
O 1.0639 1.2703 0.5021
O 2.1337 5.5575 5.6866
O 1.7702 4.2036 3.3558
O 3.5345 0.3091 2.0294
O 1.6373 4.0813 0.4762
O 1.1968 1.1480 3.3817
O 4.9723 3.2424 1.7917
O 4.4714 4.7186 4.3342
O 4.6043 4.5963 7.2138
Ga 2.8341 0.0000 3.8580
Ga 0.0000 2.9333 0.0000
Ca 5.5821 0.3548 5.7865
Ca 2.9202 3.2881 5.7874
Ca 0.0861 5.5118 1.9294
Ca 2.7480 2.5785 1.9285
Pb -0.0022 2.9333 3.8764
Pb 2.8363 0.0000 -0.0184
```

Crystal system: monoclinic
Space group: P2_1/c, No. 14
Density of states at the Fermi level in states/eV per atom: 0.507

Record 6
Below is a geometry-optimized Ca2GaPbO5 structure, with properties calculated at the PBE level.

```
18
Lattice="3.3154 0.0000 0.0000 -1.6577 6.4172 0.0000 0.0000 0.0000 12.2180" Properties=species:S:1:pos:R:3 pbc="T T T"
O 1.6577 0.3657 3.2825
O 0.0000 1.3308 0.6336
O 1.6577 3.3384 1.9524
O 0.0000 5.2171 0.4358
O 0.0000 3.0788 8.0614
O 1.6577 1.2001 6.5448
O 1.6577 3.1042 11.3213
O 0.0000 6.0516 9.3915
O 0.0000 3.3130 5.2123
O 1.6577 5.0864 6.7426
Ca 1.6577 4.2315 9.2570
Ca 0.0000 2.1858 3.1480
Ca 0.0000 0.7993 8.0698
Ca 1.6577 5.6179 1.9608
Ga 1.6577 3.0926 6.4394
Ga 0.0000 3.3246 0.3304
Pb 0.0000 5.7259 5.3295
Pb 1.6577 0.6913 11.4385
```

Crystal system: orthorhombic
Space group: Cmc2_1, No. 36
Density of states at the Fermi level in states/eV per atom: 0.354

Number 1: formation energy from raw total energies -2019 meV/atom. Number 2: formation energy from raw total energies -2778 meV/atom. Number 3: formation energy from raw total energies -2319 meV/atom. Number 4: formation energy from raw total energies -1535 meV/atom. Number 5: formation energy from raw total energies -1828 meV/atom. Number 6: formation energy from raw total energies -1971 meV/atom.